SrVP2 after structural relaxation. Source: Alexandria, functional PBE-GGA.

Summary:
Its space group is R-3m. The calculation puts the energy relative to the elements at -0.166 eV/f.u. Its polymorph energy (0 for the lowest one) is 500 meV per atom.

a = 3.5247 Å, b = 3.5247 Å, c = 8.8059 Å
α = 78.46°, β = 78.46°, γ = 60.00°
Each line ends with the local moment (μB).
Positions (direct):
P: 0.8858 0.8858 0.3426  0.01
P: 0.1142 0.1142 0.6574  0.01
Sr: 0.0000 0.0000 0.0000  0.19
V: 0.5000 0.5000 0.5000  0.01

---

SrVP2 after structural relaxation. Source: Alexandria, functional PBE-GGA.

Summary:
Its space group is Fm-3m. The calculation puts the energy relative to the elements at -0.662 eV/f.u. Its polymorph energy (0 for the lowest one) is 376 meV per atom.

a = 4.7587 Å, b = 4.7587 Å, c = 4.7587 Å
α = 60.00°, β = 60.00°, γ = 60.00°
Each line ends with the local moment (μB).
Positions (direct):
V: 0.0000 0.0000 0.0000  2.11
P: 0.2500 0.2500 0.2500  -0.13
P: 0.7500 0.7500 0.7500  -0.13
Sr: 0.5000 0.5000 0.5000  0.01

---

SrVP3 after structural relaxation. Source: Alexandria, functional PBE-GGA.

Summary:
Its space group is Pm-3m. The calculation puts the energy relative to the elements at 8.039 eV/f.u. Its polymorph energy (0 for the lowest one) is 2049 meV per atom.

a = 5.2833 Å, b = 5.2833 Å, c = 5.2833 Å
α = 90.00°, β = 90.00°, γ = 90.00°
Each line ends with the local moment (μB).
Positions (direct):
V: 0.5000 0.5000 0.5000  2.97
Sr: 0.0000 0.0000 0.0000  -0.01
P: 0.0000 0.0000 0.5000  -0.13
P: 0.0000 0.5000 0.0000  -0.13
P: 0.5000 0.0000 0.0000  -0.13